Here is CdNiAu2 after structural relaxation from Alexandria. Energies are from PBE.

Unit cell a=4.972 b=4.972 c=4.972 alpha=131.64 beta=131.59 gamma=70.83
Fractional positions:
Cd 0.500 0.500 0.000
Ni 0.250 0.750 0.500
Au 0.750 0.250 0.500
Au 0.000 0.000 0.000

Properties
Volume in Å³/cell: 67.3
Crystal system: tetragonal
Density of states at the Fermi level in states/eV/f.u.: 1.323
Formation energy from the elements in kJ/mol of formula units: -11.0
SG: I-4m2, No. 119
VASP energy in eV per atom: -3.341